Here is an optimized crystal structure of OsSeCl2 from Alexandria via LeMat-Bulk. Energies are from GGA-PBE.

Structure (CIF):
```
data_OsSeCl2
_chemical_formula_sum 'Os3 Se3 Cl6'
_symmetry_space_group_name_H-M 'R 3 m'
_symmetry_Int_Tables_number 160
_symmetry_space_group_name_Hall 'R 3 -2"'
_cell_length_a 3.6181
_cell_length_b 3.6181
_cell_length_c 22.9179
_cell_angle_alpha 90.00
_cell_angle_beta 90.00
_cell_angle_gamma 120.00
loop_
_atom_site_label
_atom_site_type_symbol
_atom_site_fract_x
_atom_site_fract_y
_atom_site_fract_z
Os1 Os 0.0000 0.0000 0.0000
Se1 Se 0.0000 0.0000 0.2805
Cl1 Cl 0.0000 0.0000 0.5239
Cl2 Cl 0.0000 0.0000 0.7296
```

Properties
The energy above the lowest structure with this stoichiometry comes out at 5.60 kcal/mol of atoms. The calculation puts the energy relative to the elements, uncorrected at 0.128 eV per atom. As for the total moment: 0.17 μB/f.u.

=====

Here is an optimized crystal structure of Eu2Y4H from Alexandria via LeMat-Bulk. Energies are from GGA-PBE.

Structure (CIF):
```
data_Eu2Y4H
_chemical_formula_sum 'Eu4 Y8 H2'
_symmetry_space_group_name_H-M 'I 4/m m m'
_symmetry_Int_Tables_number 139
_symmetry_space_group_name_Hall '-I 4 2'
_cell_length_a 4.950
_cell_length_b 4.950
_cell_length_c 17.675
_cell_angle_alpha 90.00
_cell_angle_beta 90.00
_cell_angle_gamma 90.00
loop_
_atom_site_label
_atom_site_type_symbol
_atom_site_fract_x
_atom_site_fract_y
_atom_site_fract_z
Eu1 Eu 0.000 0.000 0.159
Y1 Y 0.000 0.000 0.359
Y2 Y 0.000 0.500 0.000
H1 H 0.000 0.000 0.500
```

Properties
As for the total energy: -49.05 eV per formula unit. As for the total moment: 15.15 μB/f.u.

=====

Here is an optimized crystal structure of PrScTlHg from Alexandria via LeMat-Bulk. Energies are from GGA-PBE.

Structure (CIF):
```
data_PrScTlHg
_chemical_formula_sum 'Pr4 Sc4 Tl4 Hg4'
_symmetry_space_group_name_H-M 'F -4 3 m'
_symmetry_Int_Tables_number 216
_symmetry_space_group_name_Hall 'F -4 2 3'
_cell_length_a 7.505
_cell_length_b 7.505
_cell_length_c 7.505
_cell_angle_alpha 90.00
_cell_angle_beta 90.00
_cell_angle_gamma 90.00
loop_
_atom_site_label
_atom_site_type_symbol
_atom_site_fract_x
_atom_site_fract_y
_atom_site_fract_z
Pr1 Pr 0.000 0.000 0.000
Sc1 Sc 0.000 0.000 0.500
Tl1 Tl 0.250 0.250 0.750
Hg1 Hg 0.250 0.250 0.250
```

Properties
The formation energy comes out at -0.365 eV per atom. As for the total moment: 0.78 μB/f.u.

=====

Q: Which formula does entry 2 have?
A: Eu2Y4H

=====

Q: The highest total moment belongs to which entry?
A: Eu2Y4H